*one*
## TmCd2Pb (GGA-PBE)

Data for a relaxed TmCd2Pb crystal.

Summary:
* calculated density: 9529 kg/m3
* Fermi-level density of states: 2.35 states/eV/cell

a b c (Å): 3.5677 3.5677 8.2274
angles (deg): 90.00 90.00 90.00
Last column: nearest neighbours and their distance in Å.
Element x y z (fractional)
Tm1 0.0000 0.0000 0.0000  8 Cd 3.21, 4 Tm 3.57
Cd1 0.5000 0.5000 0.2416  4 Tm 3.21, 4 Pb 3.30, 4 Cd 3.57
Cd2 0.5000 0.5000 0.7584  4 Tm 3.21, 4 Pb 3.30, 4 Cd 3.57
Pb1 0.0000 0.0000 0.5000  8 Cd 3.30, 4 Pb 3.57

***

*two*
## TmCd2Pb (GGA-PBE)

Data for a relaxed TmCd2Pb crystal.

Summary:
* calculated density: 9531 kg/m3
* Fermi-level density of states: 3.32 states/eV/cell

a b c (Å): 5.2904 5.2904 5.2904
angles (deg): 60.00 60.00 60.00
Last column: nearest neighbours and their distance in Å.
Element x y z (fractional)
Tm1 0.0000 0.0000 0.0000  8 Cd 3.24
Cd1 0.2500 0.2500 0.2500  4 Pb 3.24, 4 Tm 3.24
Cd2 0.7500 0.7500 0.7500  4 Pb 3.24, 4 Tm 3.24
Pb1 0.5000 0.5000 0.5000  8 Cd 3.24

***

*three*
## TmCd2Pb (GGA-PBE)

Data for a relaxed TmCd2Pb crystal.

Summary:
* calculated density: 9902 kg/m3
* Fermi-level density of states: 1.76 states/eV/cell

a b c (Å): 5.9252 5.9252 5.9252
angles (deg): 135.49 135.49 64.76
Last column: nearest neighbours and their distance in Å.
Element x y z (fractional)
Tm1 0.0000 0.0000 0.0000  4 Pb 3.17, 8 Cd 3.36
Cd1 0.2500 0.7500 0.5000  4 Cd 3.17, 4 Pb 3.36, 4 Tm 3.36
Cd2 0.7500 0.2500 0.5000  4 Cd 3.17, 4 Pb 3.36, 4 Tm 3.36
Pb1 0.5000 0.5000 0.0000  4 Tm 3.17, 8 Cd 3.36

***

*four*
## TmCd2Pb (GGA-PBE)

Data for a relaxed TmCd2Pb crystal.

Summary:
* calculated density: 10082 kg/m3
* Fermi-level density of states: 1.75 states/eV/cell

a b c (Å): 4.4864 4.4864 4.9175
angles (deg): 90.00 90.00 90.00
Last column: nearest neighbours and their distance in Å.
Element x y z (fractional)
Tm1 0.0000 0.0000 0.0000  4 Pb 3.17, 8 Cd 3.33
Cd1 0.0000 0.5000 0.5000  4 Cd 3.17, 4 Pb 3.33, 4 Tm 3.33
Cd2 0.5000 0.0000 0.5000  4 Cd 3.17, 4 Pb 3.33, 4 Tm 3.33
Pb1 0.5000 0.5000 0.0000  4 Tm 3.17, 8 Cd 3.33

***

Energy ordering: *four* at the bottom, the next structure 52 meV per atom above.

***

*one*
## Tm3Cd2Pb (GGA-PBE)

Data for a relaxed Tm3Cd2Pb crystal.

Summary:
* calculated density: 10003 kg/m3
* Fermi-level density of states: 4.71 states/eV/cell

a b c (Å): 3.7091 3.7091 11.3280
angles (deg): 90.00 90.00 90.00
Last column: nearest neighbours and their distance in Å.
Element x y z (fractional)
Tm1 0.0000 0.0000 0.0000  8 Cd 3.16
Tm2 0.0000 0.0000 0.3222  4 Cd 3.23, 4 Pb 3.31
Tm3 0.0000 0.0000 0.6778  4 Cd 3.23, 4 Pb 3.31
Cd1 0.5000 0.5000 0.1564  8 Tm 3.16-3.23, 1 Cd 3.54
Cd2 0.5000 0.5000 0.8436  8 Tm 3.16-3.23, 1 Cd 3.54
Pb1 0.5000 0.5000 0.5000  8 Tm 3.31

***

*two*
## Tm3Cd2Pb (GGA-PBE)

Data for a relaxed Tm3Cd2Pb crystal.

Summary:
* calculated density: 10034 kg/m3
* Fermi-level density of states: 4.00 states/eV/cell

a b c (Å): 8.3042 8.3042 3.7766
angles (deg): 90.00 90.00 143.37
Last column: nearest neighbours and their distance in Å.
Element x y z (fractional)
Tm1 0.0000 0.0000 0.0000  4 Pb 3.22, 4 Cd 3.33
Tm2 0.3319 0.6681 0.0000  6 Cd 3.13-3.22, 2 Pb 3.25
Tm3 0.6681 0.3319 0.0000  6 Cd 3.13-3.22, 2 Pb 3.25
Cd1 0.1736 0.8264 0.5000  8 Tm 3.13-3.33
Cd2 0.8264 0.1736 0.5000  8 Tm 3.13-3.33
Pb1 0.5000 0.5000 0.5000  8 Tm 3.22-3.25

***

Energy ordering: *two* at the bottom, the next structure 9 meV per atom above.

***

*one*
## Tm3CdPb3 (GGA-PBE)

Data for a relaxed Tm3CdPb3 crystal.

Summary:
* calculated density: 9143 kg/m3
* Fermi-level density of states: 9.20 states/eV/cell

a b c (Å): 9.2064 9.2064 6.1401
angles (deg): 90.00 90.00 120.00
Last column: nearest neighbours and their distance in Å.
Element x y z (fractional)
Tm1 0.0418 0.3703 0.2500  5 Pb 3.04-3.17, 1 Cd 3.30
Tm2 0.3286 0.9582 0.2500  5 Pb 3.04-3.17, 1 Cd 3.30
Tm3 0.3703 0.3286 0.7500  5 Pb 3.04-3.17, 1 Cd 3.30
Tm4 0.6297 0.6714 0.2500  5 Pb 3.04-3.17, 1 Cd 3.30
Tm5 0.6714 0.0418 0.7500  5 Pb 3.04-3.17, 1 Cd 3.30
Tm6 0.9582 0.6297 0.7500  5 Pb 3.04-3.17, 1 Cd 3.30
Cd1 0.3333 0.6667 0.7500  3 Pb 2.95, 3 Tm 3.30
Cd2 0.6667 0.3333 0.2500  3 Pb 2.95, 3 Tm 3.30
Pb1 0.0325 0.3289 0.7500  1 Cd 2.95, 5 Tm 3.04-3.17
Pb2 0.2963 0.9675 0.7500  1 Cd 2.95, 5 Tm 3.04-3.17
Pb3 0.3289 0.2963 0.2500  1 Cd 2.95, 5 Tm 3.04-3.17
Pb4 0.6711 0.7037 0.7500  1 Cd 2.95, 5 Tm 3.04-3.17
Pb5 0.7037 0.0325 0.2500  1 Cd 2.95, 5 Tm 3.04-3.17
Pb6 0.9675 0.6711 0.2500  1 Cd 2.95, 5 Tm 3.04-3.17

***

*two*
## Tm3CdPb3 (GGA-PBE)

Data for a relaxed Tm3CdPb3 crystal.

Summary:
* calculated density: 10478 kg/m3
* Fermi-level density of states: 18.08 states/eV/cell

a b c (Å): 9.2308 9.2308 9.2308
angles (deg): 90.00 90.00 90.00
Last column: nearest neighbours and their distance in Å.
Element x y z (fractional)
Tm1 0.0152 0.2054 0.8714  6 Pb 3.10-3.30, 2 Cd 3.28-3.33
Tm2 0.1286 0.5152 0.2946  6 Pb 3.10-3.30, 2 Cd 3.28-3.33
Tm3 0.2054 0.8714 0.0152  6 Pb 3.10-3.30, 2 Cd 3.28-3.33
Tm4 0.2946 0.1286 0.5152  6 Pb 3.10-3.30, 2 Cd 3.28-3.33
Tm5 0.3714 0.4848 0.7946  6 Pb 3.10-3.30, 2 Cd 3.28-3.33
Tm6 0.4848 0.7946 0.3714  6 Pb 3.10-3.30, 2 Cd 3.28-3.33
Tm7 0.5152 0.2946 0.1286  6 Pb 3.10-3.30, 2 Cd 3.28-3.33
Tm8 0.6286 0.9848 0.7054  6 Pb 3.10-3.30, 2 Cd 3.28-3.33
Tm9 0.7054 0.6286 0.9848  6 Pb 3.10-3.30, 2 Cd 3.28-3.33
Tm10 0.7946 0.3714 0.4848  6 Pb 3.10-3.30, 2 Cd 3.28-3.33
Tm11 0.8714 0.0152 0.2054  6 Pb 3.10-3.30, 2 Cd 3.28-3.33
Tm12 0.9848 0.7054 0.6286  6 Pb 3.10-3.30, 2 Cd 3.28-3.33
Cd1 0.0567 0.5567 0.9433  4 Pb 3.19-3.48, 6 Tm 3.28-3.33
Cd2 0.4433 0.4433 0.4433  4 Pb 3.19-3.48, 6 Tm 3.28-3.33
Cd3 0.5567 0.9433 0.0567  4 Pb 3.19-3.48, 6 Tm 3.28-3.33
Cd4 0.9433 0.0567 0.5567  4 Pb 3.19-3.48, 6 Tm 3.28-3.33
Pb1 0.1068 0.3932 0.6068  6 Tm 3.10-3.11
Pb2 0.1426 0.8574 0.3574  1 Cd 3.19, 6 Tm 3.21-3.22, 3 Pb 3.44
Pb3 0.1854 0.1854 0.1854  6 Tm 3.25-3.30, 3 Pb 3.44
Pb4 0.3146 0.8146 0.6854  6 Tm 3.25-3.30, 3 Pb 3.44
Pb5 0.3574 0.1426 0.8574  1 Cd 3.19, 6 Tm 3.21-3.22, 3 Pb 3.44
Pb6 0.3932 0.6068 0.1068  6 Tm 3.10-3.11
Pb7 0.6068 0.1068 0.3932  6 Tm 3.10-3.11
Pb8 0.6426 0.6426 0.6426  1 Cd 3.19, 6 Tm 3.21-3.22, 3 Pb 3.44
Pb9 0.6854 0.3146 0.8146  6 Tm 3.25-3.30, 3 Pb 3.44
Pb10 0.8146 0.6854 0.3146  6 Tm 3.25-3.30, 3 Pb 3.44
Pb11 0.8574 0.3574 0.1426  1 Cd 3.19, 6 Tm 3.21-3.22, 3 Pb 3.44
Pb12 0.8932 0.8932 0.8932  6 Tm 3.10-3.11

***

Energy ordering: *two* at the bottom, the next structure 120 meV per atom above.

***

*one*
## Tm2CdPb3 (GGA-PBE)

Data for a relaxed Tm2CdPb3 crystal.

Summary:
* calculated density: 9596 kg/m3
* Fermi-level density of states: 7.15 states/eV/cell

a b c (Å): 8.7569 8.7569 5.1358
angles (deg): 90.00 90.00 70.39
Last column: nearest neighbours and their distance in Å.
Element x y z (fractional)
Tm1 0.0019 0.2394 0.2500  5 Pb 3.08-3.29, 3 Cd 3.14-3.42
Tm2 0.2394 0.0019 0.7500  5 Pb 3.08-3.29, 3 Cd 3.14-3.42
Tm3 0.7606 0.9981 0.2500  5 Pb 3.08-3.29, 3 Cd 3.14-3.42
Tm4 0.9981 0.7606 0.7500  5 Pb 3.08-3.29, 3 Cd 3.14-3.42
Cd1 0.1734 0.8266 0.2500  6 Tm 3.14-3.42, 2 Pb 3.41
Cd2 0.8266 0.1734 0.7500  6 Tm 3.14-3.42, 2 Pb 3.41
Pb1 0.1357 0.3870 0.7500  4 Tm 3.08-3.26, 1 Pb 3.42
Pb2 0.3870 0.1357 0.2500  4 Tm 3.08-3.26, 1 Pb 3.42
Pb3 0.3959 0.6041 0.7500  2 Tm 3.29, 4 Pb 3.32-3.42, 2 Cd 3.41
Pb4 0.6041 0.3959 0.2500  2 Tm 3.29, 4 Pb 3.32-3.42, 2 Cd 3.41
Pb5 0.6130 0.8643 0.7500  4 Tm 3.08-3.26, 1 Pb 3.42
Pb6 0.8643 0.6130 0.2500  4 Tm 3.08-3.26, 1 Pb 3.42

***

*two*
## Tm2CdPb3 (GGA-PBE)

Data for a relaxed Tm2CdPb3 crystal.

Summary:
* calculated density: 11042 kg/m3
* Fermi-level density of states: 2.49 states/eV/cell

a b c (Å): 8.0719 8.0719 4.6274
angles (deg): 90.00 90.00 147.68
Last column: nearest neighbours and their distance in Å.
Element x y z (fractional)
Tm1 0.1529 0.8471 0.0000  8 Pb 3.24-3.57, 2 Cd 3.31
Tm2 0.8471 0.1529 0.0000  8 Pb 3.24-3.57, 2 Cd 3.31
Cd1 0.0000 0.0000 0.5000  8 Pb 3.22-3.49, 4 Tm 3.31
Pb1 0.3281 0.6719 0.5000  6 Tm 3.24-3.57, 4 Pb 3.30-3.53, 2 Cd 3.49
Pb2 0.5000 0.5000 0.0000  4 Cd 3.22, 4 Tm 3.27, 4 Pb 3.53
Pb3 0.6719 0.3281 0.5000  6 Tm 3.24-3.57, 4 Pb 3.30-3.53, 2 Cd 3.49

***

Energy ordering: *two* at the bottom, the next structure 197 meV per atom above.

***

*one*
## UCdPb2 (GGA-PBE)

Data for a relaxed UCdPb2 crystal.

Summary:
* calculated density: 11559 kg/m3
* Fermi-level density of states: 6.19 states/eV/cell

a b c (Å): 12.4031 12.4031 12.4031
angles (deg): 14.90 14.90 14.90
Last column: nearest neighbours and their distance in Å.
Element x y z (fractional)
U1 0.0000 0.0000 0.0000  6 U 3.22, 6 Pb 3.46
Cd1 0.5000 0.5000 0.5000  2 Pb 3.21, 6 Cd 3.22
Pb1 0.4126 0.4126 0.4126  1 Cd 3.21, 6 Pb 3.22, 3 U 3.46
Pb2 0.5874 0.5874 0.5874  1 Cd 3.21, 6 Pb 3.22, 3 U 3.46

***

*two*
## UCdPb2 (GGA-PBE)

Data for a relaxed UCdPb2 crystal.

Summary:
* calculated density: 11936 kg/m3
* Fermi-level density of states: 6.88 states/eV/cell

a b c (Å): 4.9106 4.9106 4.4125
angles (deg): 90.00 90.00 90.00
Last column: nearest neighbours and their distance in Å.
Element x y z (fractional)
U1 0.0000 0.0000 0.0000  8 Pb 3.30, 4 Cd 3.47
Cd1 0.5000 0.5000 0.0000  8 Pb 3.30, 4 U 3.47
Pb1 0.0000 0.5000 0.5000  4 Cd 3.30, 4 U 3.30, 4 Pb 3.47
Pb2 0.5000 0.0000 0.5000  4 Cd 3.30, 4 U 3.30, 4 Pb 3.47

***

Energy ordering: *two* at the bottom, the next structure 116 meV per atom above.